Record 1
First-principles (PBE) data for a relaxed structure of ZnCd2Sb, as listed in Alexandria via LeMat-Bulk.

Calculated values
Size of the total moment, μB/atom: 0.000
ΔE to the lowest computed polymorph, meV/atom: 3.3
Raw formation energy, eV/atom: 0.0923

Lattice parameters (Å, degrees): 3.0606 4.2496 7.2235 90.00 90.00 90.00
With the nearest neighbours (Å) after each atom.
Fractional positions:
Zn  0.0000  0.0000  0.0000  2 Sb 2.82, 4 Cd 2.99, 2 Zn 3.06
Cd  0.0000  0.0000  0.5619  6 Cd 3.06-3.14, 2 Sb 3.07, 1 Zn 3.16
Cd  0.5000  0.5000  0.8009  4 Zn 2.99, 6 Cd 3.06-3.14
Sb  0.0000  0.5000  0.2561  2 Zn 2.82, 2 Sb 3.06, 2 Cd 3.07


Record 2
First-principles (PBE) data for a relaxed structure of ZnCd2Sb, as listed in Alexandria via LeMat-Bulk.

Calculated values
Size of the total moment, μB/atom: 0.000
ΔE to the lowest computed polymorph, meV/atom: 60.6
Raw formation energy, eV/atom: 0.1496

Lattice parameters (Å, degrees): 5.1183 5.1183 5.1183 60.00 60.00 60.00
With the nearest neighbours (Å) after each atom.
Fractional positions:
Zn  0.0000  0.0000  0.0000  8 Cd 3.13
Cd  0.2500  0.2500  0.2500  4 Sb 3.13, 4 Zn 3.13
Cd  0.7500  0.7500  0.7500  4 Sb 3.13, 4 Zn 3.13
Sb  0.5000  0.5000  0.5000  8 Cd 3.13


Record 3
First-principles (PBE) data for a relaxed structure of ZnCdSb2, as listed in Alexandria via LeMat-Bulk.

Calculated values
Size of the total moment, μB/atom: 0.000
ΔE to the lowest computed polymorph, meV/atom: 174.8
Raw formation energy, eV/atom: 0.1563

Lattice parameters (Å, degrees): 3.7445 3.7445 7.3967 90.00 90.00 90.00
With the nearest neighbours (Å) after each atom.
Fractional positions:
Zn  0.0000  0.0000  0.0000  5 Sb 2.95-3.02, 4 Cd 3.09
Cd  0.5000  0.5000  0.2165  5 Sb 2.90-3.00, 4 Zn 3.09
Sb  0.0000  0.0000  0.4081  4 Cd 3.00, 1 Zn 3.02
Sb  0.5000  0.5000  0.8241  1 Cd 2.90, 4 Zn 2.95


Record 4
First-principles (PBE) data for a relaxed structure of ZnCd2Sb, as listed in Alexandria via LeMat-Bulk.

Calculated values
Size of the total moment, μB/atom: 0.000
ΔE to the lowest computed polymorph, meV/atom: 8.5
Raw formation energy, eV/atom: 0.0975

Lattice parameters (Å, degrees): 9.3560 9.3560 9.3560 21.03 21.03 21.03
With the nearest neighbours (Å) after each atom.
Fractional positions:
Zn  0.0000  0.0000  0.0000  6 Cd 2.83
Cd  0.2592  0.2592  0.2592  3 Zn 2.83
Cd  0.7408  0.7408  0.7408  3 Zn 2.83
Sb  0.5000  0.5000  0.5000  6 Cd 3.21, 6 Sb 3.41


Record 5
First-principles (PBE) data for a relaxed structure of ZnCd2Sb, as listed in Alexandria via LeMat-Bulk.

Calculated values
Size of the total moment, μB/atom: 0.000
ΔE to the lowest computed polymorph, meV/atom: 0.0
Raw formation energy, eV/atom: 0.0890

Lattice parameters (Å, degrees): 4.5096 4.5096 7.0217 100.11 100.11 42.83
With the nearest neighbours (Å) after each atom.
Fractional positions:
Zn  0.0000  0.0000  0.0000  3 Cd 2.83-2.95, 3 Sb 2.87-2.88
Cd  0.2623  0.2623  0.7729  3 Zn 2.83-2.95, 3 Cd 3.00-3.03
Cd  0.5124  0.5124  0.5136  5 Cd 3.00-3.29, 3 Sb 3.09-3.17
Sb  0.7480  0.7480  0.2243  3 Zn 2.87-2.88, 3 Cd 3.09-3.17


Record 6
First-principles (PBE) data for a relaxed structure of Zn2Cd2Sb, as listed in Alexandria via LeMat-Bulk.

Calculated values
Size of the total moment, μB/atom: 0.000
ΔE to the lowest computed polymorph, meV/atom: 3.1
Raw formation energy, eV/atom: 0.1413

Lattice parameters (Å, degrees): 8.1159 8.1159 3.2856 90.00 90.00 90.00
With the nearest neighbours (Å) after each atom.
Fractional positions:
Zn  0.1674  0.3326  0.0000  6 Cd 2.83-2.95
Zn  0.3326  0.8326  0.0000  6 Cd 2.83-2.95
Zn  0.6674  0.1674  0.0000  6 Cd 2.83-2.95
Zn  0.8326  0.6674  0.0000  6 Cd 2.83-2.95
Cd  0.1322  0.6322  0.5000  6 Zn 2.83-2.95, 1 Cd 3.03
Cd  0.3678  0.1322  0.5000  6 Zn 2.83-2.95, 1 Cd 3.03
Cd  0.6322  0.8678  0.5000  6 Zn 2.83-2.95, 1 Cd 3.03
Cd  0.8678  0.3678  0.5000  6 Zn 2.83-2.95, 1 Cd 3.03
Sb  0.0000  0.0000  0.5000  4 Cd 3.17, 2 Sb 3.29, 8 Zn 3.44
Sb  0.5000  0.5000  0.5000  4 Cd 3.17, 2 Sb 3.29, 8 Zn 3.44


Record 7
First-principles (PBE) data for a relaxed structure of Zn2CdSb2, as listed in Alexandria via LeMat-Bulk.

Calculated values
Size of the total moment, μB/atom: 0.000
ΔE to the lowest computed polymorph, meV/atom: 70.7
Raw formation energy, eV/atom: 0.1570

Lattice parameters (Å, degrees): 7.4103 7.4103 4.0532 90.00 90.00 90.00
With the nearest neighbours (Å) after each atom.
Fractional positions:
Zn  0.1209  0.3791  0.0000  1 Zn 2.53
Zn  0.3791  0.8791  0.0000  1 Zn 2.53
Zn  0.6209  0.1209  0.0000  1 Zn 2.53
Zn  0.8791  0.6209  0.0000  1 Zn 2.53
Cd  0.0000  0.0000  0.0000  4 Zn 2.95
Cd  0.5000  0.5000  0.0000  4 Zn 2.95
Sb  0.1884  0.6884  0.5000  6 Zn 2.85-3.10
Sb  0.3116  0.1884  0.5000  6 Zn 2.85-3.10
Sb  0.6884  0.8116  0.5000  6 Zn 2.85-3.10
Sb  0.8116  0.3116  0.5000  6 Zn 2.85-3.10


Record 8
First-principles (PBE) data for a relaxed structure of ZnCdSb2, as listed in Alexandria via LeMat-Bulk.

Calculated values
Size of the total moment, μB/atom: 0.000
ΔE to the lowest computed polymorph, meV/atom: 154.3
Raw formation energy, eV/atom: 0.1358

Lattice parameters (Å, degrees): 5.1092 5.1092 4.5835 105.13 105.13 106.82
With the nearest neighbours (Å) after each atom.
Fractional positions:
Zn  0.0000  0.0000  0.0000  4 Sb 2.95, 2 Cd 3.05
Cd  0.5000  0.5000  0.0000  4 Sb 2.95, 2 Zn 3.05
Sb  0.0000  0.5000  0.5000  2 Cd 2.95, 2 Zn 2.95, 2 Sb 3.05
Sb  0.5000  0.0000  0.5000  2 Cd 2.95, 2 Zn 2.95, 2 Sb 3.05


Record 9
First-principles (PBE) data for a relaxed structure of ZnCd2Sb, as listed in Alexandria via LeMat-Bulk.

Calculated values
Size of the total moment, μB/atom: 0.000
ΔE to the lowest computed polymorph, meV/atom: 37.7
Raw formation energy, eV/atom: 0.1268

Lattice parameters (Å, degrees): 4.0878 4.0878 5.6918 90.00 90.00 90.00
With the nearest neighbours (Å) after each atom.
Fractional positions:
Zn  0.0000  0.0000  0.0000  2 Sb 2.85
Cd  0.5000  0.5000  0.2462  2 Cd 2.80-2.89
Cd  0.5000  0.5000  0.7538  2 Cd 2.80-2.89
Sb  0.0000  0.0000  0.5000  2 Zn 2.85


Record 10
First-principles (PBE) data for a relaxed structure of ZnCd2Sb, as listed in Alexandria via LeMat-Bulk.

Calculated values
Size of the total moment, μB/atom: 0.000
ΔE to the lowest computed polymorph, meV/atom: 36.5
Raw formation energy, eV/atom: 0.1255

Lattice parameters (Å, degrees): 5.7821 5.7821 5.7821 136.25 136.25 63.60
With the nearest neighbours (Å) after each atom.
Fractional positions:
Zn  0.0000  0.0000  0.0000  4 Sb 3.05, 8 Cd 3.27
Cd  0.2500  0.7500  0.5000  4 Cd 3.05, 4 Sb 3.27, 4 Zn 3.27
Cd  0.7500  0.2500  0.5000  4 Cd 3.05, 4 Sb 3.27, 4 Zn 3.27
Sb  0.5000  0.5000  0.0000  4 Zn 3.05, 8 Cd 3.27


Record 11
First-principles (PBE) data for a relaxed structure of ZnCdSb2, as listed in Alexandria via LeMat-Bulk.

Calculated values
Size of the total moment, μB/atom: 0.000
ΔE to the lowest computed polymorph, meV/atom: 186.1
Raw formation energy, eV/atom: 0.1676

Lattice parameters (Å, degrees): 5.5672 5.5672 5.5672 136.60 122.22 74.94
With the nearest neighbours (Å) after each atom.
Fractional positions:
Zn  0.0000  0.0000  0.0000  4 Sb 2.85
Cd  0.5000  0.5000  0.0000  8 Sb 3.20-3.33, 4 Zn 3.39
Sb  0.2230  0.7230  0.5000  2 Zn 2.85
Sb  0.7770  0.2770  0.5000  2 Zn 2.85


Record 12
First-principles (PBE) data for a relaxed structure of ZnCdSb2, as listed in Alexandria via LeMat-Bulk.

Calculated values
Size of the total moment, μB/atom: 0.000
ΔE to the lowest computed polymorph, meV/atom: 166.1
Raw formation energy, eV/atom: 0.1476

Lattice parameters (Å, degrees): 7.4592 7.4592 7.4592 127.89 127.89 76.81
With the nearest neighbours (Å) after each atom.
Fractional positions:
Zn  0.0000  0.0000  0.0000  4 Sb 2.64
Zn  0.7500  0.2500  0.5000  4 Sb 2.64
Cd  0.2500  0.7500  0.5000  4 Sb 2.85
Cd  0.5000  0.5000  0.0000  4 Sb 2.85
Sb  0.0978  0.6250  0.9728  2 Zn 2.64, 2 Cd 2.85
Sb  0.3750  0.3478  0.4728  2 Zn 2.64, 2 Cd 2.85
Sb  0.6522  0.1250  0.0272  2 Zn 2.64, 2 Cd 2.85
Sb  0.8750  0.9022  0.5272  2 Zn 2.64, 2 Cd 2.85


Record 13
First-principles (PBE) data for a relaxed structure of Zn2CdSb2, as listed in Alexandria via LeMat-Bulk.

Calculated values
Size of the total moment, μB/atom: 0.000
ΔE to the lowest computed polymorph, meV/atom: 84.6
Raw formation energy, eV/atom: 0.1709

Lattice parameters (Å, degrees): 8.4190 8.4190 3.3150 90.00 90.00 90.00
With the nearest neighbours (Å) after each atom.
Fractional positions:
Zn  0.1234  0.3766  0.0000  1 Zn 2.94, 6 Sb 2.95-3.02
Zn  0.3766  0.8766  0.0000  1 Zn 2.94, 6 Sb 2.95-3.02
Zn  0.6234  0.1234  0.0000  1 Zn 2.94, 6 Sb 2.95-3.02
Zn  0.8766  0.6234  0.0000  1 Zn 2.94, 6 Sb 2.95-3.02
Cd  0.0000  0.0000  0.5000  4 Sb 3.12, 2 Cd 3.32
Cd  0.5000  0.5000  0.5000  4 Sb 3.12, 2 Cd 3.32
Sb  0.1720  0.6720  0.5000  6 Zn 2.95-3.02, 2 Cd 3.12
Sb  0.3280  0.1720  0.5000  6 Zn 2.95-3.02, 2 Cd 3.12
Sb  0.6720  0.8280  0.5000  6 Zn 2.95-3.02, 2 Cd 3.12
Sb  0.8280  0.3280  0.5000  6 Zn 2.95-3.02, 2 Cd 3.12


Record 14
First-principles (PBE) data for a relaxed structure of ZnCdSb2, as listed in Alexandria via LeMat-Bulk.

Calculated values
Size of the total moment, μB/atom: 0.000
ΔE to the lowest computed polymorph, meV/atom: 0.0
Raw formation energy, eV/atom: -0.0185

Lattice parameters (Å, degrees): 6.4155 8.1541 8.4536 90.00 90.00 90.00
With the nearest neighbours (Å) after each atom.
Fractional positions:
Zn  0.0612  0.1052  0.1248  4 Sb 2.74-2.93, 1 Cd 2.97
Zn  0.4388  0.8948  0.6248  4 Sb 2.74-2.93, 1 Cd 2.97
Zn  0.5612  0.3948  0.8752  4 Sb 2.74-2.93, 1 Cd 2.97
Zn  0.9388  0.6052  0.3752  4 Sb 2.74-2.93, 1 Cd 2.97
Cd  0.0204  0.3734  0.6389  4 Sb 2.81-3.10, 1 Zn 2.97
Cd  0.4796  0.6266  0.1389  4 Sb 2.81-3.10, 1 Zn 2.97
Cd  0.5204  0.1266  0.3611  4 Sb 2.81-3.10, 1 Zn 2.97
Cd  0.9796  0.8734  0.8611  4 Sb 2.81-3.10, 1 Zn 2.97
Sb  0.1268  0.9074  0.3857  3 Zn 2.74-2.85, 1 Sb 2.85
Sb  0.1577  0.5615  0.9021  3 Cd 2.81-2.92, 1 Sb 2.85, 1 Zn 2.93
Sb  0.3423  0.4385  0.4021  3 Cd 2.81-2.92, 1 Sb 2.85, 1 Zn 2.93
Sb  0.3732  0.0926  0.8857  3 Zn 2.74-2.85, 1 Sb 2.85
Sb  0.6268  0.5926  0.6143  3 Zn 2.74-2.85, 1 Sb 2.85
Sb  0.6577  0.9385  0.0979  3 Cd 2.81-2.92, 1 Sb 2.85, 1 Zn 2.93
Sb  0.8423  0.0615  0.5979  3 Cd 2.81-2.92, 1 Sb 2.85, 1 Zn 2.93
Sb  0.8732  0.4074  0.1143  3 Zn 2.74-2.85, 1 Sb 2.85


Record 15
First-principles (PBE) data for a relaxed structure of ZnCdSb2, as listed in Alexandria via LeMat-Bulk.

Calculated values
Size of the total moment, μB/atom: 0.000
ΔE to the lowest computed polymorph, meV/atom: 116.1
Raw formation energy, eV/atom: 0.0976

Lattice parameters (Å, degrees): 3.0693 4.0692 8.2821 90.00 97.11 90.00
With the nearest neighbours (Å) after each atom.
Fractional positions:
Zn  0.0000  0.0000  0.0000  4 Sb 2.81, 2 Zn 3.07
Cd  0.5000  0.0000  0.5000  4 Sb 3.07, 2 Cd 3.07
Sb  0.2069  0.5000  0.2311  2 Zn 2.81, 2 Cd 3.07, 2 Sb 3.07
Sb  0.7931  0.5000  0.7689  2 Zn 2.81, 2 Cd 3.07, 2 Sb 3.07


Record 16
First-principles (PBE) data for a relaxed structure of Zn2CdSb2, as listed in Alexandria via LeMat-Bulk.

Calculated values
Size of the total moment, μB/atom: 0.000
ΔE to the lowest computed polymorph, meV/atom: 0.0
Raw formation energy, eV/atom: 0.0863

Lattice parameters (Å, degrees): 8.2602 8.2602 8.2602 152.24 152.24 39.66
With the nearest neighbours (Å) after each atom.
Fractional positions:
Zn  0.2500  0.7500  0.5000  4 Sb 2.78, 4 Zn 2.80
Zn  0.7500  0.2500  0.5000  4 Sb 2.78, 4 Zn 2.80
Cd  0.0000  0.0000  0.0000  8 Sb 3.40
Sb  0.3759  0.3759  0.0000  4 Zn 2.78
Sb  0.6241  0.6241  0.0000  4 Zn 2.78


Record 17
First-principles (PBE) data for a relaxed structure of Zn2Cd2Sb3, as listed in Alexandria via LeMat-Bulk.

Calculated values
Size of the total moment, μB/atom: 0.000
Raw formation energy, eV/atom: 0.0995

Lattice parameters (Å, degrees): 7.3153 7.3153 7.0670 106.18 106.18 34.61
With the nearest neighbours (Å) after each atom.
Fractional positions:
Zn  0.1709  0.1709  0.2964  4 Sb 2.68-2.81
Zn  0.8291  0.8291  0.7036  4 Sb 2.68-2.81
Cd  0.3798  0.3798  0.1115  5 Sb 2.98-3.30
Cd  0.6202  0.6202  0.8885  5 Sb 2.98-3.30
Sb  0.0000  0.0000  0.0000  2 Zn 2.68, 4 Cd 2.99
Sb  0.2002  0.2002  0.6882  3 Zn 2.68-2.81, 2 Cd 2.98
Sb  0.7998  0.7998  0.3118  3 Zn 2.68-2.81, 2 Cd 2.98


Record 18
First-principles (PBE) data for a relaxed structure of Zn2Cd2Sb, as listed in Alexandria via LeMat-Bulk.

Calculated values
Size of the total moment, μB/atom: 0.000
ΔE to the lowest computed polymorph, meV/atom: 0.2
Raw formation energy, eV/atom: 0.1384

Lattice parameters (Å, degrees): 8.2149 8.2149 3.1792 90.00 90.00 90.00
With the nearest neighbours (Å) after each atom.
Fractional positions:
Zn  0.1721  0.3279  0.0000  6 Cd 2.81-2.96, 2 Sb 3.04
Zn  0.3279  0.8279  0.0000  6 Cd 2.81-2.96, 2 Sb 3.04
Zn  0.6721  0.1721  0.0000  6 Cd 2.81-2.96, 2 Sb 3.04
Zn  0.8279  0.6721  0.0000  6 Cd 2.81-2.96, 2 Sb 3.04
Cd  0.1286  0.6286  0.5000  6 Zn 2.81-2.96, 1 Cd 2.99
Cd  0.3714  0.1286  0.5000  6 Zn 2.81-2.96, 1 Cd 2.99
Cd  0.6286  0.8714  0.5000  6 Zn 2.81-2.96, 1 Cd 2.99
Cd  0.8714  0.3714  0.5000  6 Zn 2.81-2.96, 1 Cd 2.99
Sb  0.0000  0.0000  0.0000  4 Zn 3.04, 2 Sb 3.18
Sb  0.5000  0.5000  0.0000  4 Zn 3.04, 2 Sb 3.18


Record 19
First-principles (PBE) data for a relaxed structure of ZnCd2Sb, as listed in Alexandria via LeMat-Bulk.

Calculated values
Size of the total moment, μB/atom: 0.000
ΔE to the lowest computed polymorph, meV/atom: 21.2
Raw formation energy, eV/atom: 0.1102

Lattice parameters (Å, degrees): 9.7749 9.7749 9.7749 152.45 152.45 39.36
With the nearest neighbours (Å) after each atom.
Fractional positions:
Zn  0.0000  0.0000  0.0000  4 Cd 2.74
Zn  0.7500  0.2500  0.5000  4 Cd 2.74
Cd  0.0728  0.6250  0.9478  2 Zn 2.74, 2 Sb 2.94, 2 Cd 2.97
Cd  0.3750  0.3228  0.4478  2 Zn 2.74, 2 Sb 2.94, 2 Cd 2.97
Cd  0.6772  0.1250  0.0522  2 Zn 2.74, 2 Sb 2.94, 2 Cd 2.97
Cd  0.8750  0.9272  0.5522  2 Zn 2.74, 2 Sb 2.94, 2 Cd 2.97
Sb  0.2500  0.7500  0.5000  4 Cd 2.94
Sb  0.5000  0.5000  0.0000  4 Cd 2.94


Record 20
First-principles (PBE) data for a relaxed structure of Zn2CdSb2, as listed in Alexandria via LeMat-Bulk.

Calculated values
Size of the total moment, μB/atom: 0.000
ΔE to the lowest computed polymorph, meV/atom: 12.9
Raw formation energy, eV/atom: 0.0992

Lattice parameters (Å, degrees): 10.9551 4.1922 12.5528 90.00 90.00 90.00
With the nearest neighbours (Å) after each atom.
Fractional positions:
Zn  0.0279  0.2500  0.1293  4 Sb 2.63-2.77
Zn  0.1324  0.2500  0.6187  3 Sb 2.68-2.69
Zn  0.3676  0.7500  0.1187  3 Sb 2.68-2.69
Zn  0.4721  0.7500  0.6293  4 Sb 2.63-2.77
Zn  0.5279  0.2500  0.3707  4 Sb 2.63-2.77
Zn  0.6324  0.2500  0.8813  3 Sb 2.68-2.69
Zn  0.8676  0.7500  0.3813  3 Sb 2.68-2.69
Zn  0.9721  0.7500  0.8707  4 Sb 2.63-2.77
Cd  0.1788  0.7500  0.4406  4 Sb 3.05, 2 Zn 3.11
Cd  0.3212  0.2500  0.9406  4 Sb 3.05, 2 Zn 3.11
Cd  0.6788  0.7500  0.0594  4 Sb 3.05, 2 Zn 3.11
Cd  0.8212  0.2500  0.5594  4 Sb 3.05, 2 Zn 3.11
Sb  0.0134  0.2500  0.3384  3 Zn 2.63-2.69
Sb  0.1462  0.7500  0.0289  4 Zn 2.68-2.77
Sb  0.3538  0.2500  0.5289  4 Zn 2.68-2.77
Sb  0.4866  0.7500  0.8384  3 Zn 2.63-2.69
Sb  0.5134  0.2500  0.1616  3 Zn 2.63-2.69
Sb  0.6462  0.7500  0.4711  4 Zn 2.68-2.77
Sb  0.8538  0.2500  0.9711  4 Zn 2.68-2.77
Sb  0.9866  0.7500  0.6616  3 Zn 2.63-2.69